This record from the Alexandria database describes a relaxed Cd3SiHg crystal. The functional is GGA-PBE.

Values from the calculation:
The density of states at the Fermi level is 3.656 states/eV per cell. As for the spin magnetization: 0.0 μB/f.u. The uncorrected formation energy comes out at 1.46 eV per formula unit. As for the energy relative to the lowest polymorph listed for this composition: 0 meV per atom.

The structure in CIF format:
```
data_Cd3SiHg
_cell_length_a 5.225
_cell_length_b 5.225
_cell_length_c 5.225
_cell_angle_alpha 90.00
_cell_angle_beta 90.00
_cell_angle_gamma 90.00
_space_group_name_H-M_alt 'P m -3 m'
_space_group_IT_number 221
_space_group_name_Hall '-P 4 2 3'
loop_
_atom_site_label
_atom_site_type_symbol
_atom_site_fract_x
_atom_site_fract_y
_atom_site_fract_z
Cd1 Cd 0.000 0.000 0.500
Si1 Si 0.000 0.000 0.000
Hg1 Hg 0.500 0.500 0.500
```


This record from the Alexandria database describes a relaxed CdSiHg crystal. The functional is GGA-PBE.

Values from the calculation:
The density of states at the Fermi level is 0.965 states/eV per cell. As for the spin magnetization: 0.0 μB/f.u. The uncorrected formation energy comes out at 1.24 eV per formula unit.

The structure in CIF format:
```
data_CdSiHg
_cell_length_a 4.9443
_cell_length_b 4.9443
_cell_length_c 3.0056
_cell_angle_alpha 90.00
_cell_angle_beta 90.00
_cell_angle_gamma 120.00
_space_group_name_H-M_alt 'P 3 m 1'
_space_group_IT_number 156
loop_
_space_group_symop_operation_xyz
'x,y,z'
'-y,x-y,z'
'-x+y,-x,z'
'-y,-x,z'
'-x+y,y,z'
'x,x-y,z'
loop_
_atom_site_label
_atom_site_type_symbol
_atom_site_fract_x
_atom_site_fract_y
_atom_site_fract_z
Cd1 Cd 0.0000 0.0000 0.0000
Si1 Si 0.3333 0.6667 0.5067
Hg1 Hg 0.6667 0.3333 0.5029
```


This record from the Alexandria database describes a relaxed CdSiHg2 crystal. The functional is GGA-PBE.

Values from the calculation:
The density of states at the Fermi level is 0.000 states/eV per cell. As for the spin magnetization: 0.0 μB/f.u. The uncorrected formation energy comes out at 1.41 eV per formula unit. As for the energy relative to the lowest polymorph listed for this composition: 79 meV per atom.

The structure in CIF format:
```
data_CdSiHg2
_cell_length_a 5.923
_cell_length_b 5.923
_cell_length_c 14.365
_cell_angle_alpha 90.00
_cell_angle_beta 90.00
_cell_angle_gamma 90.00
_space_group_name_H-M_alt 'I -4 2 d'
_space_group_IT_number 122
_space_group_name_Hall 'I -4 2bw'
loop_
_atom_site_label
_atom_site_type_symbol
_atom_site_fract_x
_atom_site_fract_y
_atom_site_fract_z
Cd1 Cd 0.000 0.000 0.000
Si1 Si 0.000 0.000 0.500
Hg1 Hg 0.163 0.250 0.625
```


This record from the Alexandria database describes a relaxed CdSiHg2 crystal. The functional is GGA-PBE.

Values from the calculation:
The density of states at the Fermi level is 1.779 states/eV per cell. As for the spin magnetization: 0.0 μB/f.u. The uncorrected formation energy comes out at 1.15 eV per formula unit. As for the energy relative to the lowest polymorph listed for this composition: 16 meV per atom.

The structure in CIF format:
```
data_CdSiHg2
_cell_length_a 5.367
_cell_length_b 5.690
_cell_length_c 3.099
_cell_angle_alpha 90.00
_cell_angle_beta 90.00
_cell_angle_gamma 90.00
_space_group_name_H-M_alt 'P m m 2'
_space_group_IT_number 25
loop_
_space_group_symop_operation_xyz
'x,y,z'
'-x,-y,z'
'-x,y,z'
'x,-y,z'
loop_
_atom_site_label
_atom_site_type_symbol
_atom_site_fract_x
_atom_site_fract_y
_atom_site_fract_z
Cd1 Cd 0.000 0.000 0.000
Si1 Si 0.000 0.500 0.001
Hg1 Hg 0.500 0.000 0.501
Hg2 Hg 0.500 0.500 0.002
```


This record from the Alexandria database describes a relaxed Cd2SiHg2 crystal. The functional is GGA-PBE.

Values from the calculation:
The density of states at the Fermi level is 4.475 states/eV per cell. As for the spin magnetization: 0.0 μB/f.u. The uncorrected formation energy comes out at 1.54 eV per formula unit. As for the energy relative to the lowest polymorph listed for this composition: 0 meV per atom.

The structure in CIF format:
```
data_Cd2SiHg2
_cell_length_a 7.176
_cell_length_b 7.176
_cell_length_c 4.662
_cell_angle_alpha 90.00
_cell_angle_beta 90.00
_cell_angle_gamma 90.00
_space_group_name_H-M_alt 'P 4/m b m'
_space_group_IT_number 127
_space_group_name_Hall '-P 4 2ab'
loop_
_atom_site_label
_atom_site_type_symbol
_atom_site_fract_x
_atom_site_fract_y
_atom_site_fract_z
Cd1 Cd 0.148 0.352 0.000
Si1 Si 0.000 0.000 0.000
Hg1 Hg 0.163 0.663 0.500
```


This record from the Alexandria database describes a relaxed CdSiHg2 crystal. The functional is GGA-PBE.

Values from the calculation:
The density of states at the Fermi level is 1.237 states/eV per cell. As for the spin magnetization: 0.0 μB/f.u. The uncorrected formation energy comes out at 1.31 eV per formula unit. As for the energy relative to the lowest polymorph listed for this composition: 54 meV per atom.

The structure in CIF format:
```
data_CdSiHg2
_cell_length_a 3.445
_cell_length_b 4.570
_cell_length_c 5.917
_cell_angle_alpha 90.00
_cell_angle_beta 90.00
_cell_angle_gamma 90.00
_space_group_name_H-M_alt 'P m m 2'
_space_group_IT_number 25
loop_
_space_group_symop_operation_xyz
'x,y,z'
'-x,-y,z'
'-x,y,z'
'x,-y,z'
loop_
_atom_site_label
_atom_site_type_symbol
_atom_site_fract_x
_atom_site_fract_y
_atom_site_fract_z
Cd1 Cd 0.000 0.000 0.000
Si1 Si 0.500 0.500 0.871
Hg1 Hg 0.000 0.000 0.515
Hg2 Hg 0.500 0.500 0.338
```